A plane-wave DFT calculation with PBE was carried out for crystalline Ba2Bi4Pd3Pb at its relaxed geometry.

As for the space group: No. 115. The value obtained for the energy of formation from the pure elements is -516 meV/atom. The calculation puts the theoretical density at 9.23 g cm⁻³.

Geometry as POSCAR:
```
Ba2Bi4Pd3Pb
1.0
5.0547 0.0000 0.0000
0.0000 5.0547 0.0000
0.0000 0.0000 11.5323
Ba Bi Pd Pb
2 4 3 1
Cartesian
0.0000 2.5273 2.8253 Ba
2.5273 0.0000 8.7070 Ba
0.0000 0.0000 0.0000 Bi
0.0000 2.5273 7.4909 Bi
2.5273 0.0000 4.0414 Bi
2.5273 2.5273 0.0000 Bi
0.0000 2.5273 10.2391 Pd
2.5273 0.0000 1.2933 Pd
2.5273 2.5273 5.7662 Pd
0.0000 0.0000 5.7662 Pb
```

A plane-wave DFT calculation with PBE was carried out for crystalline BaBiPd3Pb at its relaxed geometry.

As for the space group: No. 63. The value obtained for the energy of formation from the pure elements is -347 meV/atom. The calculation puts the theoretical density at 9.06 g cm⁻³.

Geometry as POSCAR:
```
BaBiPd3Pb
1.0
3.4812 -6.5538 0.0000
3.4812 6.5538 0.0000
0.0000 0.0000 7.0140
Ba Bi Pd Pb
2 2 6 2
Cartesian
3.4812 4.0043 5.2605 Ba
3.4812 -4.0043 1.7535 Ba
3.4812 4.9033 1.7535 Bi
3.4812 -4.9033 5.2605 Bi
1.4272 0.0000 0.0000 Pd
1.4272 0.0000 3.5070 Pd
3.4812 2.1715 1.7535 Pd
3.4812 -2.1715 5.2605 Pd
5.5352 0.0000 0.0000 Pd
5.5352 0.0000 3.5070 Pd
3.4812 0.5522 5.2605 Pb
3.4812 -0.5522 1.7535 Pb
```